! CeSc2Zn4, optimized geometry, DFT GGA-PBE; values from VASP
! - symmetry = P4/mmm, No. 123
! - E_form (eV/f.u.) = -0.22
! - crystal system = tetragonal
! - spin magnetization (μB/f.u.) = 0.336
&SYSTEM
  ibrav = 0, nat = 7, ntyp = 3
/
ATOMIC_SPECIES
Ce 140.12 Ce.upf
Sc 44.96 Sc.upf
Zn 65.41 Zn.upf
CELL_PARAMETERS angstrom
4.839 0.000 0.000
0.000 4.839 0.000
0.000 0.000 6.587
ATOMIC_POSITIONS angstrom
Ce 0.000 0.000 0.000
Sc 0.000 0.000 3.294
Sc 2.419 2.419 0.000
Zn 0.000 2.419 1.851
Zn 0.000 2.419 4.737
Zn 2.419 0.000 1.851
Zn 2.419 0.000 4.737

=====

! Ce2ScZn8, optimized geometry, DFT GGA-PBE; values from VASP
! - symmetry = C2/m, No. 12
! - E_form (eV/f.u.) = -1.71
! - crystal system = monoclinic
! - spin magnetization (μB/f.u.) = 1.324
&SYSTEM
  ibrav = 0, nat = 11, ntyp = 3
/
ATOMIC_SPECIES
Ce 140.12 Ce.upf
Sc 44.96 Sc.upf
Zn 65.41 Zn.upf
CELL_PARAMETERS angstrom
3.050 -7.988 0.000
3.050 7.988 0.000
-2.528 0.000 4.377
ATOMIC_POSITIONS angstrom
Ce 3.050 5.460 0.000
Ce 3.050 -5.460 0.000
Sc -1.264 0.000 2.188
Zn 0.437 2.120 3.130
Zn 1.786 4.040 2.188
Zn 1.595 0.000 0.875
Zn 3.135 2.120 1.247
Zn 0.437 -2.120 3.130
Zn 1.977 0.000 3.502
Zn 1.786 -4.040 2.188
Zn 3.135 -2.120 1.247

=====

! CeSc3Zn2, optimized geometry, DFT GGA-PBE; values from VASP
! - symmetry = P4/mmm, No. 123
! - E_form (eV/f.u.) = -1.32
! - crystal system = tetragonal
! - spin magnetization (μB/f.u.) = 0.262
&SYSTEM
  ibrav = 0, nat = 6, ntyp = 3
/
ATOMIC_SPECIES
Ce 140.12 Ce.upf
Sc 44.96 Sc.upf
Zn 65.41 Zn.upf
CELL_PARAMETERS angstrom
3.335 0.000 0.000
0.000 3.335 0.000
0.000 0.000 11.475
ATOMIC_POSITIONS angstrom
Ce 0.000 0.000 0.000
Sc 1.667 1.667 2.371
Sc 1.667 1.667 5.738
Sc 1.667 1.667 9.104
Zn 0.000 0.000 4.048
Zn 0.000 0.000 7.427

=====

! CeSc2Zn3, optimized geometry, DFT GGA-PBE; values from VASP
! - symmetry = P4/mmm, No. 123
! - E_form (eV/f.u.) = -1.84
! - crystal system = tetragonal
! - spin magnetization (μB/f.u.) = 0.270
&SYSTEM
  ibrav = 0, nat = 6, ntyp = 3
/
ATOMIC_SPECIES
Ce 140.12 Ce.upf
Sc 44.96 Sc.upf
Zn 65.41 Zn.upf
CELL_PARAMETERS angstrom
3.291 0.000 0.000
0.000 3.291 0.000
0.000 0.000 11.109
ATOMIC_POSITIONS angstrom
Ce 0.000 0.000 0.000
Sc 0.000 0.000 3.858
Sc 0.000 0.000 7.251
Zn 1.646 1.646 2.151
Zn 1.646 1.646 5.555
Zn 1.646 1.646 8.958

=====

! CeSc2Zn6, optimized geometry, DFT GGA-PBE; values from VASP
! - symmetry = P6/mmm, No. 191
! - E_form (eV/f.u.) = -2.78
! - crystal system = hexagonal
! - spin magnetization (μB/f.u.) = 1.306
&SYSTEM
  ibrav = 0, nat = 9, ntyp = 3
/
ATOMIC_SPECIES
Ce 140.12 Ce.upf
Sc 44.96 Sc.upf
Zn 65.41 Zn.upf
CELL_PARAMETERS angstrom
7.763 0.000 0.000
-3.881 6.723 0.000
0.000 0.000 3.192
ATOMIC_POSITIONS angstrom
Ce 0.000 0.000 0.000
Sc 0.000 4.482 0.000
Sc 3.881 2.241 0.000
Zn -1.322 2.290 1.596
Zn -2.559 4.433 1.596
Zn 2.644 0.000 1.596
Zn 1.322 2.290 1.596
Zn 5.119 0.000 1.596
Zn 2.559 4.433 1.596

=====

! CeSc2Zn, optimized geometry, DFT GGA-PBE; values from VASP
! - energy relative to the lowest polymorph listed for this composition (eV per formula unit) = 0.00
! - symmetry = P4/mmm, No. 123
! - E_form (eV/f.u.) = -0.55
! - crystal system = tetragonal
! - spin magnetization (μB/f.u.) = 0.365
&SYSTEM
  ibrav = 0, nat = 4, ntyp = 3
/
ATOMIC_SPECIES
Ce 140.12 Ce.upf
Sc 44.96 Sc.upf
Zn 65.41 Zn.upf
CELL_PARAMETERS angstrom
3.323 0.000 0.000
0.000 3.323 0.000
0.000 0.000 8.149
ATOMIC_POSITIONS angstrom
Ce 0.000 0.000 0.000
Sc 1.661 1.661 2.385
Sc 1.661 1.661 5.764
Zn 0.000 0.000 4.074

=====

! CeSc2Zn, optimized geometry, DFT GGA-PBE; values from VASP
! - energy relative to the lowest polymorph listed for this composition (eV per formula unit) = 0.49
! - symmetry = P4/mmm, No. 123
! - E_form (eV/f.u.) = -0.05
! - crystal system = tetragonal
! - spin magnetization (μB/f.u.) = 1.647
&SYSTEM
  ibrav = 0, nat = 4, ntyp = 3
/
ATOMIC_SPECIES
Ce 140.12 Ce.upf
Sc 44.96 Sc.upf
Zn 65.41 Zn.upf
CELL_PARAMETERS angstrom
4.544 0.000 0.000
0.000 4.544 0.000
0.000 0.000 4.457
ATOMIC_POSITIONS angstrom
Ce 0.000 0.000 0.000
Sc 0.000 2.272 2.229
Sc 2.272 0.000 2.229
Zn 2.272 2.272 0.000

=====

! CeZrSc2, optimized geometry, DFT GGA-PBE; values from VASP
! - energy relative to the lowest polymorph listed for this composition (eV per formula unit) = 0.24
! - symmetry = Fm-3m, No. 225
! - E_form (eV/f.u.) = 0.43
! - crystal system = cubic
! - spin magnetization (μB/f.u.) = 0.001
&SYSTEM
  ibrav = 0, nat = 16, ntyp = 3
/
ATOMIC_SPECIES
Ce 140.12 Ce.upf
Zr 91.22 Zr.upf
Sc 44.96 Sc.upf
CELL_PARAMETERS angstrom
7.365 0.000 0.000
0.000 7.365 0.000
0.000 0.000 7.365
ATOMIC_POSITIONS angstrom
Ce 0.000 0.000 0.000
Ce 0.000 3.683 3.683
Ce 3.683 0.000 3.683
Ce 3.683 3.683 0.000
Zr 0.000 0.000 3.683
Zr 0.000 3.683 0.000
Zr 3.683 0.000 0.000
Zr 3.683 3.683 3.683
Sc 1.841 1.841 1.841
Sc 1.841 1.841 5.524
Sc 1.841 5.524 1.841
Sc 1.841 5.524 5.524
Sc 5.524 1.841 1.841
Sc 5.524 1.841 5.524
Sc 5.524 5.524 1.841
Sc 5.524 5.524 5.524

=====

! CeZr4Sc5, optimized geometry, DFT GGA-PBE; values from VASP
! - symmetry = C2/m, No. 12
! - E_form (eV/f.u.) = 1.94
! - crystal system = monoclinic
! - spin magnetization (μB/f.u.) = 0.000
&SYSTEM
  ibrav = 0, nat = 10, ntyp = 3
/
ATOMIC_SPECIES
Ce 140.12 Ce.upf
Zr 91.22 Zr.upf
Sc 44.96 Sc.upf
CELL_PARAMETERS angstrom
8.115 -2.263 0.000
8.115 2.263 0.000
-3.231 0.000 7.053
ATOMIC_POSITIONS angstrom
Ce 0.000 0.000 0.000
Zr 1.545 0.000 2.979
Zr 5.142 0.000 5.110
Zr 7.857 0.000 1.943
Zr 11.454 0.000 4.074
Sc -1.615 0.000 3.526
Sc 2.309 0.000 6.168
Sc 4.612 0.000 2.142
Sc 8.387 0.000 4.911
Sc 10.690 0.000 0.885

=====

! CeZr2Sc6, optimized geometry, DFT GGA-PBE; values from VASP
! - energy relative to the lowest polymorph listed for this composition (eV per formula unit) = 0.79
! - symmetry = C2/c, No. 15
! - E_form (eV/f.u.) = 1.51
! - crystal system = monoclinic
! - spin magnetization (μB/f.u.) = 1.702
&SYSTEM
  ibrav = 0, nat = 18, ntyp = 3
/
ATOMIC_SPECIES
Ce 140.12 Ce.upf
Zr 91.22 Zr.upf
Sc 44.96 Sc.upf
CELL_PARAMETERS angstrom
13.189 -3.185 0.000
13.189 3.185 0.000
-0.009 0.000 5.504
ATOMIC_POSITIONS angstrom
Ce 13.182 1.799 4.128
Ce 13.187 -1.799 1.376
Zr 7.969 0.760 5.073
Zr 7.974 -0.760 2.321
Zr 18.395 0.760 3.183
Zr 18.399 -0.760 0.431
Sc 10.313 2.385 4.090
Sc 5.351 0.802 3.270
Sc 16.050 2.385 4.165
Sc 10.857 0.819 1.347
Sc 5.356 -0.802 0.518
Sc 15.516 0.819 1.404
Sc 10.852 -0.819 4.099
Sc 21.013 0.802 4.986
Sc 15.511 -0.819 4.156
Sc 10.318 -2.385 1.338
Sc 21.017 -0.802 2.234
Sc 16.055 -2.385 1.413

=====

! CeZr4Sc6, optimized geometry, DFT GGA-PBE; values from VASP
! - symmetry = C2/c, No. 15
! - E_form (eV/f.u.) = 1.37
! - crystal system = monoclinic
! - spin magnetization (μB/f.u.) = 0.496
&SYSTEM
  ibrav = 0, nat = 22, ntyp = 3
/
ATOMIC_SPECIES
Ce 140.12 Ce.upf
Zr 91.22 Zr.upf
Sc 44.96 Sc.upf
CELL_PARAMETERS angstrom
2.627 -4.353 0.000
2.627 4.353 0.000
-0.589 0.000 23.293
ATOMIC_POSITIONS angstrom
Ce 2.185 2.595 17.470
Ce 2.480 -2.595 5.823
Zr 2.341 3.085 10.629
Zr 2.619 3.085 1.017
Zr 2.418 0.392 2.787
Zr 2.541 0.392 8.860
Zr 2.124 -0.392 14.433
Zr 2.247 -0.392 20.506
Zr 2.046 -3.085 22.276
Zr 2.324 -3.085 12.663
Sc 2.462 3.236 4.123
Sc 2.498 3.236 7.523
Sc 2.183 2.611 13.952
Sc 2.187 2.611 20.987
Sc 2.480 0.319 5.823
Sc 2.627 0.000 0.000
Sc 2.333 0.000 11.646
Sc 2.185 -0.319 17.470
Sc 2.478 -2.611 2.306
Sc 2.482 -2.611 9.340
Sc 2.167 -3.236 15.770
Sc 2.203 -3.236 19.170